Version one
Entry from the Alexandria database: PbNF2 after structural relaxation (PBE-GGA).

The structure in CIF format:
```
data_PbNF2
_symmetry_space_group_name_H-M 'P 1 21/m 1'
_symmetry_Int_Tables_number 11
_cell_length_a 6.1831
_cell_length_b 3.9775
_cell_length_c 6.5189
_cell_angle_alpha 90.00
_cell_angle_beta 103.28
_cell_angle_gamma 90.00
loop_
_symmetry_equiv_pos_as_xyz
'x,y,z'
'-x,-y,-z'
'-x,y+1/2,-z'
'x,-y+1/2,z'
loop_
_atom_site_label
_atom_site_type_symbol
_atom_site_fract_x
_atom_site_fract_y
_atom_site_fract_z
Pb1 Pb 0.1132 0.2500 0.2841
N1 N 0.4793 0.7500 0.2227
F1 F 0.0739 0.2500 0.8818
F2 F 0.1801 0.7500 0.5512
```

Version two
Entry from the Alexandria database: PbNF2 after structural relaxation (PBE-GGA).

The structure in CIF format:
```
data_PbNF2
_symmetry_space_group_name_H-M 'I -4 2 d'
_symmetry_Int_Tables_number 122
_symmetry_space_group_name_Hall 'I -4 2bw'
_cell_length_a 3.6138
_cell_length_b 3.6138
_cell_length_c 15.9646
_cell_angle_alpha 90.00
_cell_angle_beta 90.00
_cell_angle_gamma 90.00
loop_
_atom_site_label
_atom_site_type_symbol
_atom_site_fract_x
_atom_site_fract_y
_atom_site_fract_z
Pb1 Pb 0.0000 0.0000 0.0000
N1 N 0.0000 0.0000 0.5000
F1 F 0.2502 0.2500 0.1250
```

Stability ranking, top entry: version one; the second entry is 0.294 eV/atom less favorable.